Version i
The following is a GGA-PBE calculation of crystalline GaPb2N at its relaxed geometry, from the Alexandria database.

Structure (extended XYZ):
```
8
Lattice="-5.1644 -3.1142 -1.2131 3.1439 -3.7692 -3.7081 0.0048 -6.7834 1.7968" Properties=species:S:1:pos:R:3 pbc="T T T"
Ga 0.0000 0.0000 0.0000
Ga -3.0849 -6.6697 -0.9385
Pb -1.9575 -10.8788 -2.7305
Pb -0.5608 -7.9006 -0.7258
Pb -2.5160 -3.9220 -0.6979
Pb 1.0031 -4.6323 -2.0946
N 1.0693 -6.9972 -2.1860
N -1.0102 -3.4417 -2.4606
```

Output
Calculated volume in Å³ per atom: 26.0
Theoretical density in Mg/m³: 7.939

***

Version ii
The following is a GGA-PBE calculation of crystalline GaPb2N at its relaxed geometry, from the Alexandria database.

Structure (extended XYZ):
```
4
Lattice="1.5537 -1.8218 4.3269 -3.2746 -1.7626 3.2596 -0.2518 -4.8617 0.8693" Properties=species:S:1:pos:R:3 pbc="T T T"
Pb -1.4795 -6.3346 6.3418
Pb -0.4932 -2.1115 2.1139
N 0.0000 0.0000 0.0000
Ga -0.9863 -4.2231 4.2279
```

Output
Calculated volume in Å³ per atom: 21.4
Theoretical density in Mg/m³: 9.673

***

So which one is most stable? That would be version i, about 40.9 kJ/mol of atoms below the next structure.

***

Version i
The following is a GGA-PBE calculation of crystalline GaPbS2N at its relaxed geometry, from the Alexandria database.

Structure (extended XYZ):
```
5
Lattice="-0.7714 -5.0274 1.4272 4.0696 -1.4830 -3.0241 2.8071 0.5633 3.5013" Properties=species:S:1:pos:R:3 pbc="T T T"
Ga 3.0526 -2.9735 0.9522
S -0.3857 -2.5137 0.7136
S 2.0348 -0.7415 -1.5121
N 1.4035 0.2816 1.7507
Pb 0.0000 0.0000 0.0000
```

Output
Calculated volume in Å³ per atom: 25.2
Theoretical density in Mg/m³: 4.671

***

Version ii
The following is a GGA-PBE calculation of crystalline GaPbS2N at its relaxed geometry, from the Alexandria database.

Structure (extended XYZ):
```
5
Lattice="-3.2330 3.2860 2.3489 -0.2389 -3.1590 4.0904 3.1583 1.9171 1.6650" Properties=species:S:1:pos:R:3 pbc="T T T"
S -0.1195 -1.5795 2.0452
S -1.6165 1.6430 1.1745
Pb -0.1568 1.0221 4.0522
Ga 0.0000 0.0000 0.0000
N 1.5791 0.9585 0.8325
```

Output
Calculated volume in Å³ per atom: 21.7
Theoretical density in Mg/m³: 5.435

***

So which one is most stable? That would be version ii, about 56.3 kJ/mol of atoms below the next structure.

***

Version i
The following is a GGA-PBE calculation of crystalline GaPbSN2 at its relaxed geometry, from the Alexandria database.

Structure (extended XYZ):
```
5
Lattice="-2.1204 2.0369 -2.8416 1.3172 -2.6130 -2.8560 -4.0065 -2.9646 0.8646" Properties=species:S:1:pos:R:3 pbc="T T T"
N 0.6586 -1.3065 -1.4280
N -1.0602 1.0184 -1.4208
Pb -2.4049 -1.7704 -2.4165
S -2.0033 -1.4823 0.4323
Ga 0.0000 0.0000 0.0000
```

Output
Calculated volume in Å³ per atom: 16.9
Theoretical density in Mg/m³: 6.616

***

Version ii
The following is a GGA-PBE calculation of crystalline GaPbSN2 at its relaxed geometry, from the Alexandria database.

Structure (extended XYZ):
```
5
Lattice="-0.9495 1.8565 -3.9854 -3.8281 -2.3545 -0.1847 -2.6128 4.0511 2.5096" Properties=species:S:1:pos:R:3 pbc="T T T"
Pb 0.0000 0.0000 0.0000
S -1.3064 2.0256 1.2548
N -1.9140 -1.1772 -0.0924
N -0.4748 0.9282 -1.9927
Ga -3.6952 1.7766 -0.8303
```

Output
Calculated volume in Å³ per atom: 22.0
Theoretical density in Mg/m³: 5.089

***

So which one is most stable? That would be version i, about 58.8 kJ/mol of atoms below the next structure.

***

Version i
The following is a GGA-PBE calculation of crystalline GaPbSe2N at its relaxed geometry, from the Alexandria database.

Structure (extended XYZ):
```
5
Lattice="-3.5334 -1.1106 -4.1278 2.9093 -4.5486 -1.2665 -2.5502 -2.4201 2.8341" Properties=species:S:1:pos:R:3 pbc="T T T"
Pb 0.0000 0.0000 0.0000
Se -1.7667 -0.5553 -2.0639
Se 1.4546 -2.2743 -0.6332
N -1.2751 -1.2101 1.4170
Ga -1.5872 -4.0397 -1.2801
```

Output
Calculated volume in Å³ per atom: 27.8
Theoretical density in Mg/m³: 5.366

***

Version ii
The following is a GGA-PBE calculation of crystalline GaPbSe2N at its relaxed geometry, from the Alexandria database.

Structure (extended XYZ):
```
5
Lattice="5.3108 0.0000 0.0000 0.0000 5.3108 0.0000 0.0000 0.0000 3.8162" Properties=species:S:1:pos:R:3 pbc="T T T"
Pb 2.6554 2.6554 1.9081
Se 0.0000 2.6554 0.0000
Se 2.6554 0.0000 0.0000
Ga 0.0000 0.0000 0.0000
N 0.0000 0.0000 1.9081
```

Output
Calculated volume in Å³ per atom: 21.5
Theoretical density in Mg/m³: 6.925

***

So which one is most stable? That would be version ii, about 55.3 kJ/mol of atoms below the next structure.

***

Version i
The following is a GGA-PBE calculation of crystalline GaTe2PbN at its relaxed geometry, from the Alexandria database.

Structure (extended XYZ):
```
5
Lattice="5.9853 0.0000 0.0000 0.0000 5.9853 0.0000 0.0000 0.0000 4.4374" Properties=species:S:1:pos:R:3 pbc="T T T"
Te 2.9926 0.0000 0.0000
Te 0.0000 2.9926 0.0000
Ga 2.9926 2.9926 2.2187
N 0.0000 0.0000 2.2187
Pb 0.0000 0.0000 0.0000
```

Output
Calculated volume in Å³ per atom: 31.8
Theoretical density in Mg/m³: 5.705

***

Version ii
The following is a GGA-PBE calculation of crystalline GaTe2PbN at its relaxed geometry, from the Alexandria database.

Structure (extended XYZ):
```
5
Lattice="-2.8092 -3.8965 -3.4931 2.4826 -4.4823 3.0035 -2.8457 -0.0244 2.3157" Properties=species:S:1:pos:R:3 pbc="T T T"
N -1.4228 -0.0122 1.1579
Pb -1.5861 -4.2016 0.9131
Te 1.2413 -2.2412 1.5018
Te -1.4046 -1.9483 -1.7465
Ga 0.0000 0.0000 0.0000
```

Output
Calculated volume in Å³ per atom: 25.9
Theoretical density in Mg/m³: 7.007

***

So which one is most stable? That would be version ii, about 52.3 kJ/mol of atoms below the next structure.

***

Version i
The following is a GGA-PBE calculation of crystalline Ga3PdN at its relaxed geometry, from the Alexandria database.

Structure (extended XYZ):
```
5
Lattice="4.2277 0.0000 0.0000 0.0000 4.2277 0.0000 0.0000 0.0000 4.2277" Properties=species:S:1:pos:R:3 pbc="T T T"
Ga 2.1139 0.0000 0.0000
Ga 0.0000 2.1139 0.0000
Ga 0.0000 0.0000 2.1139
N 0.0000 0.0000 0.0000
Pd 2.1139 2.1139 2.1139
```

Output
Calculated volume in Å³ per atom: 15.1
Theoretical density in Mg/m³: 7.243

***

Version ii
The following is a GGA-PBE calculation of crystalline Ga3PdN at its relaxed geometry, from the Alexandria database.

Structure (extended XYZ):
```
5
Lattice="4.7928 0.0000 0.0000 0.0000 4.7928 0.0000 0.0000 0.0000 4.7928" Properties=species:S:1:pos:R:3 pbc="T T T"
N 2.3964 2.3964 2.3964
Pd 0.0000 0.0000 0.0000
Ga 2.3964 0.0000 0.0000
Ga 0.0000 0.0000 2.3964
Ga 0.0000 2.3964 0.0000
```

Output
Calculated volume in Å³ per atom: 22.0
Theoretical density in Mg/m³: 4.971

***

So which one is most stable? That would be version i, about 47.6 kJ/mol of atoms below the next structure.